# 1
The following is a PBE-GGA calculation of a relaxed Pm9TmIn2 crystal, from Alexandria.

Cell: 4.976 4.976 15.211 Å, 90.00 90.00 90.00°
Fractional coordinates of all 12 atoms:
Pm (0.000, 0.000, 0.000)
Pm (0.000, 0.000, 0.336)
Pm (0.000, 0.000, 0.664)
Pm (0.000, 0.500, 0.172)
Pm (0.000, 0.500, 0.500)
Pm (0.000, 0.500, 0.828)
Pm (0.500, 0.000, 0.172)
Pm (0.500, 0.000, 0.500)
Pm (0.500, 0.000, 0.828)
Tm (0.500, 0.500, 0.000)
In (0.500, 0.500, 0.339)
In (0.500, 0.500, 0.661)

Values from the calculation:
The calculated total energy comes out at -4.566 eV/atom.

=====

# 2
The following is a PBE-GGA calculation of a relaxed Pm6TmIn crystal, from Alexandria.

Cell: 4.995 4.995 10.221 Å, 90.00 90.00 90.00°
Fractional coordinates of all 8 atoms:
Pm (0.000, 0.000, 0.000)
Pm (0.000, 0.000, 0.500)
Pm (0.000, 0.500, 0.244)
Pm (0.000, 0.500, 0.756)
Pm (0.500, 0.000, 0.244)
Pm (0.500, 0.000, 0.756)
Tm (0.500, 0.500, 0.500)
In (0.500, 0.500, 0.000)

Values from the calculation:
The calculated total energy comes out at -4.586 eV/atom.

=====

# 3
The following is a PBE-GGA calculation of a relaxed Pm4Tm5In crystal, from Alexandria.

Cell: 8.071 8.071 8.071 Å, 97.32 97.32 138.17°
Fractional coordinates of all 10 atoms:
Pm (0.000, 0.312, 0.312)
Pm (0.000, 0.688, 0.688)
Pm (0.312, 0.000, 0.312)
Pm (0.688, 0.000, 0.688)
Tm (0.316, 0.316, 0.632)
Tm (0.316, 0.684, 0.000)
Tm (0.684, 0.316, 0.000)
Tm (0.684, 0.684, 0.368)
Tm (0.787, 0.787, 0.000)
In (0.272, 0.272, 0.000)

Values from the calculation:
As for the relative energy among the computed polymorphs: 0.1622 eV per atom. The calculated total energy comes out at -4.330 eV/atom.

=====

# 4
The following is a PBE-GGA calculation of a relaxed Pm5Tm2In4 crystal, from Alexandria.

Cell: 8.858 8.858 11.819 Å, 115.13 115.13 23.35°
Fractional coordinates of all 11 atoms:
Pm (0.000, 0.000, 0.000)
Pm (0.116, 0.116, 0.597)
Pm (0.151, 0.151, 0.902)
Pm (0.849, 0.849, 0.098)
Pm (0.884, 0.884, 0.403)
Tm (0.465, 0.465, 0.698)
Tm (0.535, 0.535, 0.302)
In (0.206, 0.206, 0.383)
In (0.320, 0.320, 0.842)
In (0.680, 0.680, 0.158)
In (0.794, 0.794, 0.617)

Values from the calculation:
The calculated total energy comes out at -4.132 eV/atom.

=====

# 5
The following is a PBE-GGA calculation of a relaxed Pm5Tm5In2 crystal, from Alexandria.

Cell: 6.293 6.293 12.375 Å, 91.86 91.86 50.21°
Fractional coordinates of all 12 atoms:
Pm (0.000, 0.000, 0.000)
Pm (0.343, 0.343, 0.501)
Pm (0.430, 0.430, 0.193)
Pm (0.570, 0.570, 0.807)
Pm (0.657, 0.657, 0.499)
Tm (0.000, 0.000, 0.500)
Tm (0.137, 0.137, 0.262)
Tm (0.297, 0.297, 0.925)
Tm (0.703, 0.703, 0.075)
Tm (0.863, 0.863, 0.738)
In (0.171, 0.171, 0.699)
In (0.829, 0.829, 0.301)

Values from the calculation:
The calculated total energy comes out at -4.350 eV/atom.

=====

# 6
The following is a PBE-GGA calculation of a relaxed Pm7Tm2In2 crystal, from Alexandria.

Cell: 6.817 6.817 9.388 Å, 90.00 90.00 121.30°
Fractional coordinates of all 11 atoms:
Pm (0.000, 0.000, 0.000)
Pm (0.000, 0.500, 0.301)
Pm (0.000, 0.500, 0.699)
Pm (0.500, 0.000, 0.301)
Pm (0.500, 0.000, 0.699)
Pm (0.500, 0.500, 0.186)
Pm (0.500, 0.500, 0.814)
Tm (0.244, 0.244, 0.500)
Tm (0.756, 0.756, 0.500)
In (0.271, 0.729, 0.000)
In (0.729, 0.271, 0.000)

Values from the calculation:
The calculated total energy comes out at -4.200 eV/atom.

=====

no.,formation energy from the elements (eV/atom)
1,-0.174
2,-0.122
3,0.080
4,-0.164
5,-0.051
6,0.134